# AsP2Cl PBEsol optimized geometry
# Formation energy without anion corrections: 0.350 eV/atom
# Energy relative to the lowest polymorph listed for this composition: 0.293 eV/atom
# E_tot: -4.324 eV/atom
# Total moment: 0.00 μB per cell
# Theoretical density: 3.976 g cm⁻³
data_AsP2Cl
_symmetry_space_group_name_H-M 'P 4/m m m'
_symmetry_Int_Tables_number 123
_symmetry_space_group_name_Hall '-P 4 2'
_cell_length_a 3.3066
_cell_length_b 3.3066
_cell_length_c 6.5825
_cell_angle_alpha 90.00
_cell_angle_beta 90.00
_cell_angle_gamma 90.00
loop_
_atom_site_label
_atom_site_type_symbol
_atom_site_fract_x
_atom_site_fract_y
_atom_site_fract_z
As1 As 0.0000 0.0000 0.0000
P1 P 0.5000 0.5000 0.1835
Cl1 Cl 0.0000 0.0000 0.5000